This record from the Alexandria database describes a relaxed structure of La12Pm3Dy. The functional is GGA-PBE.

Output
- spin magnetization (μB per cell) = 0.00
- crystal system = tetragonal
- ΔH_f (0 K) (eV per atom) = 0.01

```
La12Pm3Dy
1.0
-0.8250 4.1124 -3.1274
-3.1046 -2.9260 -3.0286
-16.5290 5.5164 11.6141
Dy La Pm
1 12 3
Direct
0.0000 0.0000 0.0000 Dy
0.0000 0.5000 0.1238 La
0.0000 0.5000 0.3744 La
0.5000 0.0000 0.6256 La
0.5000 0.5000 0.2491 La
0.5000 0.0000 0.3744 La
0.5000 0.0000 0.1238 La
0.5000 0.5000 0.5000 La
0.5000 0.0000 0.8762 La
0.0000 0.5000 0.8762 La
0.5000 0.5000 0.7509 La
0.5000 0.5000 0.0000 La
0.0000 0.5000 0.6256 La
0.0000 0.0000 0.2491 Pm
0.0000 0.0000 0.5000 Pm
0.0000 0.0000 0.7509 Pm
```

This record from the Alexandria database describes a relaxed structure of La3Pm5Dy3. The functional is GGA-PBE.

Output
- spin magnetization (μB per cell) = 0.02
- crystal system = hexagonal
- ΔH_f (0 K) (eV per atom) = 0.71

```
La3Pm5Dy3
1.0
5.6528 0.0000 0.0000
0.0000 8.3568 -4.8248
0.0000 0.0000 9.6496
La Dy Pm
3 3 5
Direct
0.0000 0.0000 0.6151 La
0.0000 0.3849 0.3849 La
0.0000 0.6151 0.0000 La
0.5000 0.7640 0.0000 Dy
0.5000 0.2360 0.2360 Dy
0.5000 0.0000 0.7640 Dy
0.5000 0.3836 0.0000 Pm
0.5000 0.6164 0.6164 Pm
0.5000 0.0000 0.3836 Pm
0.5000 0.3333 0.6667 Pm
0.5000 0.6667 0.3333 Pm
```

This record from the Alexandria database describes a relaxed structure of La5Pm6Dy2. The functional is GGA-PBE.

Output
- spin magnetization (μB per cell) = 0.00
- crystal system = orthorhombic
- ΔH_f (0 K) (eV per atom) = 0.08

```
La5Pm6Dy2
1.0
-0.6396 0.6962 -3.5523
-0.3092 -11.6590 -2.2293
-20.7600 -0.1582 3.7068
Pm La Dy
12 10 4
Direct
0.0000 0.0619 0.0819 Pm
0.5000 0.1742 0.6403 Pm
0.0000 0.5619 0.4181 Pm
0.5000 0.6742 0.8597 Pm
0.5000 0.3258 0.1403 Pm
0.0000 0.4381 0.5819 Pm
0.0000 0.9165 0.6306 Pm
0.0000 0.4165 0.8694 Pm
0.5000 0.8258 0.3597 Pm
0.0000 0.5835 0.1306 Pm
0.0000 0.9381 0.9181 Pm
0.0000 0.0835 0.3694 Pm
0.5000 0.5838 0.2717 La
0.5000 0.0000 0.5000 La
0.5000 0.5000 0.0000 La
0.5000 0.3020 0.4493 La
0.5000 0.6980 0.5507 La
0.5000 0.9162 0.7717 La
0.5000 0.1980 0.9493 La
0.5000 0.0838 0.2283 La
0.5000 0.8020 0.0507 La
0.5000 0.4162 0.7283 La
0.0000 0.8294 0.2096 Dy
0.0000 0.6706 0.7096 Dy
0.0000 0.1706 0.7904 Dy
0.0000 0.3294 0.2904 Dy
```

This record from the Alexandria database describes a relaxed structure of La3Pm2Dy2. The functional is GGA-PBE.

Output
- spin magnetization (μB per cell) = 0.00
- crystal system = triclinic
- ΔH_f (0 K) (eV per atom) = 0.02
- ΔE to the lowest computed polymorph (kJ per mole of atoms) = 0.00

```
La3Pm2Dy2
1.0
0.6144 3.2515 1.5817
-7.7565 -4.5471 8.0694
2.9784 -1.1657 5.4819
Dy Pm La
2 2 3
Direct
0.2874 0.7153 0.1401 Dy
0.7126 0.2847 0.8599 Dy
0.1429 0.8576 0.5728 Pm
0.8571 0.1424 0.4272 Pm
0.4268 0.5711 0.7159 La
0.0000 0.0000 0.0000 La
0.5732 0.4289 0.2841 La
```

This record from the Alexandria database describes a relaxed structure of La2PmDy5. The functional is GGA-PBE.

Output
- spin magnetization (μB per cell) = 0.00
- crystal system = orthorhombic
- ΔH_f (0 K) (eV per atom) = 0.03
- ΔE to the lowest computed polymorph (kJ per mole of atoms) = 0.00

```
La2PmDy5
1.0
-4.3603 -1.6971 -2.0987
3.7878 -3.6732 -4.8993
0.2364 -11.4378 8.7581
Dy La Pm
10 4 2
Direct
0.0000 0.5000 0.5000 Dy
0.0000 0.0039 0.7507 Dy
0.0000 0.5039 0.7493 Dy
0.0000 0.9961 0.2493 Dy
0.0000 0.0000 0.0000 Dy
0.5000 0.7468 0.1249 Dy
0.5000 0.2468 0.3751 Dy
0.5000 0.7532 0.6249 Dy
0.5000 0.2532 0.8751 Dy
0.0000 0.4961 0.2507 Dy
0.5000 0.7470 0.3742 La
0.5000 0.2470 0.1258 La
0.5000 0.7530 0.8742 La
0.5000 0.2530 0.6258 La
0.0000 0.0000 0.5000 Pm
0.0000 0.5000 0.0000 Pm
```

This record from the Alexandria database describes a relaxed structure of LaPm12Dy2. The functional is GGA-PBE.

Output
- spin magnetization (μB per cell) = 0.00
- crystal system = tetragonal
- ΔH_f (0 K) (eV per atom) = 0.30

```
LaPm12Dy2
1.0
6.5266 0.0000 0.0000
0.0000 6.5266 0.0000
0.0000 0.0000 25.6374
Pm Dy La
24 4 2
Direct
0.0000 0.0000 0.3387 Pm
0.5000 0.5000 0.7824 Pm
0.6824 0.1824 0.1174 Pm
0.1824 0.6824 0.8826 Pm
0.8176 0.6824 0.1174 Pm
0.0000 0.0000 0.7824 Pm
0.6680 0.8320 0.5618 Pm
0.0000 0.0000 0.2176 Pm
0.1824 0.3176 0.1174 Pm
0.1680 0.6680 0.5618 Pm
0.5000 0.5000 0.2176 Pm
0.3176 0.1824 0.8826 Pm
0.5000 0.5000 0.3387 Pm
0.3320 0.1680 0.5618 Pm
0.3320 0.8320 0.4382 Pm
0.0000 0.0000 0.6613 Pm
0.6680 0.1680 0.4382 Pm
0.5000 0.5000 0.6613 Pm
0.6824 0.8176 0.8826 Pm
0.1680 0.3320 0.4382 Pm
0.3176 0.8176 0.1174 Pm
0.8320 0.3320 0.5618 Pm
0.8320 0.6680 0.4382 Pm
0.8176 0.3176 0.8826 Pm
0.5000 0.0000 0.7253 Dy
0.0000 0.5000 0.7253 Dy
0.0000 0.5000 0.2747 Dy
0.5000 0.0000 0.2747 Dy
0.0000 0.5000 0.0000 La
0.5000 0.0000 0.0000 La
```

This record from the Alexandria database describes a relaxed structure of La12Pm7Dy. The functional is GGA-PBE.

Output
- spin magnetization (μB per cell) = 0.00
- crystal system = trigonal
- ΔH_f (0 K) (eV per atom) = 0.18
- ΔE to the lowest computed polymorph (kJ per mole of atoms) = 0.65

```
La12Pm7Dy
1.0
-7.2454 -3.9554 -3.4435
1.7000 -7.4015 4.7252
-4.9863 3.0763 6.7582
Pm La Dy
7 12 1
Direct
0.5000 0.5000 0.5000 Pm
0.1392 0.3819 0.0689 Pm
0.9311 0.8608 0.6181 Pm
0.3819 0.0689 0.1392 Pm
0.0689 0.1392 0.3819 Pm
0.6181 0.9311 0.8608 Pm
0.8608 0.6181 0.9311 Pm
0.1434 0.4846 0.6051 La
0.2796 0.1460 0.7426 La
0.6051 0.1434 0.4846 La
0.7204 0.8540 0.2574 La
0.4846 0.6051 0.1434 La
0.8540 0.2574 0.7204 La
0.8566 0.5154 0.3949 La
0.5154 0.3949 0.8566 La
0.7426 0.2796 0.1460 La
0.2574 0.7204 0.8540 La
0.1460 0.7426 0.2796 La
0.3949 0.8566 0.5154 La
0.0000 0.0000 0.0000 Dy
```

This record from the Alexandria database describes a relaxed structure of LaPm4Dy8. The functional is GGA-PBE.

Output
- spin magnetization (μB per cell) = 0.00
- crystal system = trigonal
- ΔH_f (0 K) (eV per atom) = 0.18

```
LaPm4Dy8
1.0
-1.6721 -7.2103 -0.0016
5.9284 2.4250 -3.7091
4.2361 2.8148 8.6110
Dy Pm La
8 4 1
Direct
0.0596 0.2508 0.3104 Dy
0.5017 0.2508 0.3104 Dy
0.0596 0.8087 0.3104 Dy
0.5618 0.7809 0.3427 Dy
0.9404 0.1913 0.6896 Dy
0.9404 0.7492 0.6896 Dy
0.4382 0.2191 0.6573 Dy
0.4983 0.7492 0.6896 Dy
0.5000 0.0000 0.0000 Pm
0.0000 0.0000 0.0000 Pm
0.5000 0.5000 0.0000 Pm
0.0000 0.5000 0.0000 Pm
0.0000 0.5000 0.5000 La
```

This record from the Alexandria database describes a relaxed structure of La3PmDy6. The functional is GGA-PBE.

Output
- spin magnetization (μB per cell) = 0.01
- crystal system = trigonal
- ΔH_f (0 K) (eV per atom) = 0.28
- ΔE to the lowest computed polymorph (kJ per mole of atoms) = 13.06

```
La3PmDy6
1.0
8.8234 0.0000 4.6823
3.1693 8.2345 4.6823
2.2644 1.5548 6.3876
La Dy Pm
3 6 1
Direct
0.1007 0.1007 0.6978 La
0.3495 0.3495 0.9515 La
0.5985 0.5985 0.2044 La
0.7757 0.0975 0.7019 Dy
0.4250 0.7757 0.7019 Dy
0.9250 0.6030 0.1965 Dy
0.2755 0.9250 0.1965 Dy
0.6030 0.2755 0.1965 Dy
0.0975 0.4250 0.7019 Dy
0.8496 0.8496 0.4512 Pm
```

This record from the Alexandria database describes a relaxed structure of La11Pm4Dy9. The functional is GGA-PBE.

Output
- spin magnetization (μB per cell) = 0.00
- crystal system = orthorhombic
- ΔH_f (0 K) (eV per atom) = 0.07

```
La11Pm4Dy9
1.0
3.7416 0.0000 0.0000
0.0000 14.3447 -6.1027
0.0000 0.0255 15.5889
La Pm Dy
11 4 9
Direct
0.0000 0.6327 0.3673 La
0.0000 0.7090 0.7090 La
0.0000 0.1588 0.8412 La
0.0000 0.0445 0.4066 La
0.0000 0.3673 0.6327 La
0.0000 0.2910 0.2910 La
0.0000 0.5934 0.9555 La
0.0000 0.0000 0.0000 La
0.0000 0.8412 0.1588 La
0.0000 0.9555 0.5934 La
0.0000 0.4066 0.0445 La
0.5000 0.2435 0.4450 Pm
0.5000 0.4450 0.2435 Pm
0.5000 0.5550 0.7565 Pm
0.5000 0.7565 0.5550 Pm
0.5000 0.3662 0.8354 Dy
0.5000 0.7878 0.9335 Dy
0.5000 0.1646 0.6338 Dy
0.5000 0.9335 0.7878 Dy
0.5000 0.2122 0.0665 Dy
0.5000 0.0665 0.2122 Dy
0.5000 0.5000 0.5000 Dy
0.5000 0.6338 0.1646 Dy
0.5000 0.8354 0.3662 Dy
```

This record from the Alexandria database describes a relaxed structure of LaPm2Dy4. The functional is GGA-PBE.

Output
- spin magnetization (μB per cell) = 1.27
- crystal system = monoclinic
- ΔH_f (0 K) (eV per atom) = 0.32
- ΔE to the lowest computed polymorph (kJ per mole of atoms) = 7.42

```
LaPm2Dy4
1.0
7.7689 -1.5909 1.9439
1.0850 7.5215 1.7629
-2.1413 -1.4181 7.3674
Dy Pm La
8 4 2
Direct
0.2793 0.7528 0.7484 Dy
0.7206 0.7514 0.7471 Dy
0.2793 0.7524 0.2521 Dy
0.7207 0.2472 0.2516 Dy
0.7207 0.2476 0.7479 Dy
0.7206 0.7519 0.2524 Dy
0.2794 0.2486 0.2529 Dy
0.2794 0.2481 0.7476 Dy
0.0000 0.0000 0.5000 Pm
0.0000 0.5000 0.5000 Pm
0.0000 0.0000 0.0000 Pm
0.5000 0.0000 0.5000 Pm
0.5000 0.5000 0.0000 La
0.0000 0.5000 0.0000 La
```

This record from the Alexandria database describes a relaxed structure of LaPm3Dy. The functional is GGA-PBE.

Output
- spin magnetization (μB per cell) = 0.00
- crystal system = monoclinic
- ΔH_f (0 K) (eV per atom) = 0.18
- ΔE to the lowest computed polymorph (kJ per mole of atoms) = 0.00

```
LaPm3Dy
1.0
-3.1211 5.4072 -2.8550
0.7407 -2.4719 -5.4913
-6.1459 -5.3167 4.9032
Dy Pm La
2 6 2
Direct
0.5503 0.3003 0.1005 Dy
0.4497 0.6997 0.8995 Dy
0.5798 0.0965 0.6930 Pm
0.7719 0.5227 0.5438 Pm
0.8868 0.9035 0.3070 Pm
0.1132 0.0965 0.6930 Pm
0.4202 0.9035 0.3070 Pm
0.2281 0.4773 0.4562 Pm
0.0000 0.0000 0.0000 La
0.0000 0.5000 0.0000 La
```